(1)
A plane-wave DFT calculation with PBE was carried out for a geometry-optimized TlSn3N structure.

Structure (CIF):
```
data_TlSn3N
_chemical_formula_sum 'Tl1 Sn3 N1'
_cell_length_a 5.671
_cell_length_b 5.671
_cell_length_c 5.671
_cell_angle_alpha 90.00
_cell_angle_beta 90.00
_cell_angle_gamma 90.00
_symmetry_space_group_name_H-M 'P m -3 m'
_symmetry_Int_Tables_number 221
_symmetry_space_group_name_Hall '-P 4 2 3'
loop_
_atom_site_label
_atom_site_fract_x
_atom_site_fract_y
_atom_site_fract_z
_atom_site_occupancy
Tl1 0.000 0.000 0.000 1
Sn1 0.000 0.000 0.500 1
N1 0.500 0.500 0.500 1
```

Calculated values
The value obtained for the calculated volume is 182.4 Å³/cell. The formation energy from raw total energies is 1.85 eV per atom. As for the density of states at the Fermi level: 4.79 states/eV per cell.

=====

(2)
A plane-wave DFT calculation with PBE was carried out for a geometry-optimized TlZn2SnN structure.

Structure (CIF):
```
data_TlZn2SnN
_chemical_formula_sum 'Tl1 Zn2 Sn1 N1'
_cell_length_a 5.466
_cell_length_b 5.466
_cell_length_c 4.142
_cell_angle_alpha 90.00
_cell_angle_beta 90.00
_cell_angle_gamma 90.00
_symmetry_space_group_name_H-M 'P 4/m m m'
_symmetry_Int_Tables_number 123
_symmetry_space_group_name_Hall '-P 4 2'
loop_
_atom_site_label
_atom_site_fract_x
_atom_site_fract_y
_atom_site_fract_z
_atom_site_occupancy
Tl1 0.000 0.000 0.000 1
Zn1 0.000 0.500 0.500 1
Sn1 0.500 0.500 0.500 1
N1 0.500 0.500 0.000 1
```

Calculated values
The value obtained for the calculated volume is 123.7 Å³/cell. The formation energy from raw total energies is 0.79 eV per atom. As for the density of states at the Fermi level: 1.74 states/eV per cell.